## TbEr2Tc (GGA-PBE)

Data for a relaxed TbEr2Tc crystal.

* distance to the lowest polymorph of the same formula: 371 meV/atom
* ΔH_f (0 K): 0.251 eV per atom

```
data_TbEr2Tc
_symmetry_space_group_name_H-M 'R -3 m'
_symmetry_Int_Tables_number 166
_symmetry_space_group_name_Hall '-R 3 2"'
_cell_length_a 3.3948
_cell_length_b 3.3948
_cell_length_c 32.7151
_cell_angle_alpha 90.00
_cell_angle_beta 90.00
_cell_angle_gamma 120.00
loop_
_atom_site_label
_atom_site_fract_x
_atom_site_fract_y
_atom_site_fract_z
Tb1 0.0000 0.0000 0.0000
Er1 0.0000 0.0000 0.1052
Tc1 0.0000 0.0000 0.5000
```